(1)
Computed, not measured: Ag3Te2Au at its PBEsol-relaxed geometry at the SCAN level of DFT.

Computed properties:
SG   I4_132
Energy relative to the elements, uncorrected   -0.58 eV/f.u.
Volume   22.22 Å³ per atom

```
Ag3Te2Au
1.0
-6.077 5.070 -3.957
3.114 -5.928 -5.783
-3.684 -4.217 6.851
Te Ag Au
8 12 4
Cartesian
-1.948 -6.976 3.627
-3.475 -2.250 -1.164
-4.729 0.139 1.166
-0.295 0.246 -0.192
-0.464 -5.277 0.866
-2.743 2.289 -1.786
-4.843 -4.399 2.121
-2.165 -2.355 3.285
-5.540 1.658 -1.140
-1.192 -2.445 0.578
1.096 -5.593 -3.671
-7.639 0.548 1.124
-1.087 -6.377 -1.787
-5.845 -3.770 -0.569
-6.415 -1.988 2.127
-3.148 -4.981 -0.131
-5.113 -2.660 -3.568
-0.575 -3.057 -4.914
-0.822 -1.661 -2.283
-3.603 -0.124 -3.100
-3.143 -1.698 -5.592
-2.545 -4.020 -2.890
-4.558 3.803 -2.967
0.636 -4.018 -1.179
```

---

(2)
Computed, not measured: Na2SrAs2 at its PBEsol-relaxed geometry at the SCAN level of DFT.

Computed properties:
SG   P4/mbm
E_form   -0.49 eV/atom
Volume   24.70 Å³ per atom

```
Na2SrAs2
1.0
3.319 0.000 0.000
0.000 8.627 0.000
0.000 0.000 8.627
As Na Sr
4 4 2
Cartesian
0.000 7.080 5.860
0.000 1.546 2.767
0.000 5.860 1.546
0.000 2.767 7.080
1.660 5.339 7.601
1.660 7.601 3.287
1.660 1.026 5.339
1.660 3.287 1.026
0.000 0.000 0.000
0.000 4.313 4.313
```

---

(3)
Computed, not measured: BaYMo2 at its PBEsol-relaxed geometry at the SCAN level of DFT.

Computed properties:
SG   Imm2
E_form   0.65 eV/atom
Volume   25.25 Å³ per atom

```
BaYMo2
1.0
3.503 0.000 0.000
0.000 5.249 0.000
-1.752 -2.624 5.493
Mo Ba Y
2 1 1
Cartesian
0.000 0.000 0.449
1.752 0.000 2.064
0.000 2.624 3.027
0.000 0.000 5.446
```